No. 1
# KIn4Ag4

Crystalline KIn4Ag4 at its relaxed geometry (GGA-PBE, the Alexandria database).

abc: 7.359 7.359 7.359
angles: 97.13 97.13 138.74
Fractional positions:
K: 0.000 0.000 0.000
In: 0.113 0.608 0.722
In: 0.392 0.113 0.505
In: 0.608 0.887 0.495
In: 0.887 0.392 0.278
Ag: 0.196 0.319 0.515
Ag: 0.319 0.804 0.123
Ag: 0.681 0.196 0.877
Ag: 0.804 0.681 0.485

The density of states at the Fermi level is 3.27 states/eV/f.u. The value obtained for the formation energy is -0.31 eV per formula unit. As for the calculated total energy: -2.64 eV per atom. Its space group is I4/m, No. 87.

=====

No. 2
# CsPF5

Crystalline CsPF5 at its relaxed geometry (GGA-PBE, the Alexandria database).

abc: 7.185 7.185 7.179
angles: 116.74 116.74 61.57
Fractional positions:
Cs: 0.231 0.769 0.500
Cs: 0.769 0.231 0.000
P: 0.454 0.998 0.248
P: 0.998 0.454 0.748
F: 0.043 0.637 0.999
F: 0.264 0.952 0.996
F: 0.274 0.330 0.784
F: 0.330 0.274 0.284
F: 0.565 0.722 0.214
F: 0.620 0.980 0.142
F: 0.637 0.043 0.499
F: 0.722 0.565 0.714
F: 0.952 0.264 0.496
F: 0.980 0.620 0.642

For the uncorrected formation energy, the calculation gives -2.4949 eV per atom. As for the calculated total energy: -4.73 eV per atom. Its space group is Cc, No. 9.

=====

No. 3
# CdAg2Pd5Pt

Crystalline CdAg2Pd5Pt at its relaxed geometry (GGA-PBE, the Alexandria database).

abc: 8.710 8.710 8.710
angles: 134.80 134.80 65.84
Fractional positions:
Cd: 0.250 0.750 0.500
Cd: 0.750 0.250 0.500
Ag: 0.131 0.631 0.762
Ag: 0.369 0.131 0.500
Ag: 0.631 0.869 0.500
Ag: 0.869 0.369 0.238
Pd: 0.000 0.000 0.000
Pd: 0.083 0.110 0.500
Pd: 0.110 0.610 0.027
Pd: 0.390 0.417 0.500
Pd: 0.417 0.917 0.027
Pd: 0.500 0.500 0.000
Pd: 0.583 0.083 0.973
Pd: 0.610 0.583 0.500
Pd: 0.890 0.390 0.973
Pd: 0.917 0.890 0.500
Pt: 0.250 0.250 0.000
Pt: 0.750 0.750 0.000

The density of states at the Fermi level is 6.74 states/eV/f.u. The value obtained for the formation energy is 2.18 eV per formula unit. As for the calculated total energy: -4.05 eV per atom. Its space group is I4/mcm, No. 140.

=====

No. 4
# Dy5Y4Sc

Crystalline Dy5Y4Sc at its relaxed geometry (GGA-PBE, the Alexandria database).

abc: 8.003 8.003 8.003
angles: 97.47 97.47 137.73
Fractional positions:
Dy: 0.000 0.000 0.000
Dy: 0.532 0.532 0.628
Dy: 0.532 0.904 0.000
Dy: 0.904 0.532 0.000
Dy: 0.904 0.904 0.372
Y: 0.228 0.549 0.321
Y: 0.228 0.907 0.679
Y: 0.549 0.228 0.321
Y: 0.907 0.228 0.679
Sc: 0.468 0.468 0.000

The density of states at the Fermi level is 13.71 states/eV/f.u. The value obtained for the formation energy is 2.24 eV per formula unit. As for the calculated total energy: -5.30 eV per atom. Its space group is I4mm, No. 107.

=====

No. 5
# Dy4Ho3In

Crystalline Dy4Ho3In at its relaxed geometry (GGA-PBE, the Alexandria database).

abc: 8.284 7.003 8.301
angles: 90.00 95.32 90.00
Fractional positions:
Dy: 0.000 0.000 0.000
Dy: 0.060 0.500 0.409
Dy: 0.243 0.258 0.750
Dy: 0.243 0.742 0.750
Dy: 0.329 0.252 0.166
Dy: 0.329 0.748 0.166
Dy: 0.482 0.500 0.511
Dy: 0.581 0.000 0.898
Ho: 0.086 0.000 0.415
Ho: 0.732 0.248 0.244
Ho: 0.732 0.752 0.244
Ho: 0.818 0.242 0.659
Ho: 0.818 0.758 0.659
Ho: 0.975 0.500 0.994
In: 0.491 0.000 0.499
In: 0.572 0.500 0.909

The density of states at the Fermi level is 10.76 states/eV/f.u. The value obtained for the formation energy is -0.93 eV per formula unit. As for the calculated total energy: -4.48 eV per atom. Its space group is Pm, No. 6.

=====

No. 6
# NiBiTe2N

Crystalline NiBiTe2N at its relaxed geometry (GGA-PBE, the Alexandria database).

abc: 5.915 5.915 4.286
angles: 90.00 90.00 90.00
Fractional positions:
Ni: 0.000 0.000 0.000
Bi: 0.500 0.500 0.500
Te: 0.000 0.500 0.500
Te: 0.500 0.000 0.500
N: 0.500 0.500 0.000

The density of states at the Fermi level is 8.28 states/eV/f.u. For the uncorrected formation energy, the calculation gives 1.4935 eV per atom. As for the calculated total energy: -3.36 eV per atom. Its space group is P4/mmm, No. 123.

=====

No. 7
# Mn3Ge5Cl16

Crystalline Mn3Ge5Cl16 at its relaxed geometry (GGA-PBE, the Alexandria database).

abc: 7.885 7.885 13.436
angles: 92.69 92.69 58.19
Fractional positions:
Mn: 0.000 0.000 0.000
Mn: 0.174 0.679 0.497
Mn: 0.679 0.174 0.497
Ge: 0.158 0.158 0.233
Ge: 0.492 0.492 0.731
Ge: 0.518 0.996 0.996
Ge: 0.695 0.695 0.497
Ge: 0.996 0.518 0.996
Cl: 0.000 0.000 0.414
Cl: 0.143 0.143 0.896
Cl: 0.152 0.666 0.909
Cl: 0.299 0.858 0.127
Cl: 0.309 0.309 0.149
Cl: 0.326 0.793 0.636
Cl: 0.350 0.350 0.614
Cl: 0.485 0.485 0.403
Cl: 0.532 0.998 0.402
Cl: 0.666 0.152 0.909
Cl: 0.682 0.682 0.887
Cl: 0.793 0.326 0.636
Cl: 0.841 0.841 0.109
Cl: 0.845 0.845 0.607
Cl: 0.858 0.299 0.127
Cl: 0.998 0.532 0.402

The density of states at the Fermi level is 0.00 states/eV/f.u. For the uncorrected formation energy, the calculation gives -0.8926 eV per atom. As for the calculated total energy: -4.23 eV per atom. Its space group is Cm, No. 8.

=====

No. 8
# LiCeIr

Crystalline LiCeIr at its relaxed geometry (GGA-PBE, the Alexandria database).

abc: 4.552 4.552 4.552
angles: 60.00 60.00 60.00
Fractional positions:
Li: 0.000 0.000 0.000
Ce: 0.500 0.500 0.500
Ir: 0.250 0.250 0.250

The density of states at the Fermi level is 4.38 states/eV/f.u. The value obtained for the formation energy is -0.92 eV per formula unit. As for the calculated total energy: -5.87 eV per atom. Its space group is F-43m, No. 216.

=====

No. 9
# GaH2Ir2

Crystalline GaH2Ir2 at its relaxed geometry (GGA-PBE, the Alexandria database).

abc: 5.949 5.949 5.949
angles: 150.75 150.75 41.84
Fractional positions:
Ga: 0.000 0.000 0.000
H: 0.250 0.750 0.500
H: 0.750 0.250 0.500
Ir: 0.362 0.362 0.000
Ir: 0.638 0.638 0.000

The density of states at the Fermi level is 1.34 states/eV/f.u. As for the calculated total energy: -5.45 eV per atom. Its space group is I4/mmm, No. 139.

=====

No. 10
# EuScCuHg

Crystalline EuScCuHg at its relaxed geometry (GGA-PBE, the Alexandria database).

abc: 5.087 5.087 5.087
angles: 60.00 60.00 60.00
Fractional positions:
Eu: 0.000 0.000 0.000
Sc: 0.500 0.500 0.500
Cu: 0.250 0.250 0.250
Hg: 0.750 0.750 0.750

The density of states at the Fermi level is 4.53 states/eV/f.u. The value obtained for the formation energy is -0.78 eV per formula unit. As for the calculated total energy: -5.45 eV per atom. Its space group is F-43m, No. 216.

=====

No. 11
# CeMg2Bi

Crystalline CeMg2Bi at its relaxed geometry (GGA-PBE, the Alexandria database).

abc: 4.611 4.611 5.086
angles: 90.00 90.00 90.00
Fractional positions:
Ce: 0.000 0.000 0.000
Mg: 0.000 0.500 0.500
Mg: 0.500 0.000 0.500
Bi: 0.500 0.500 0.000

The density of states at the Fermi level is 7.32 states/eV/f.u. The value obtained for the formation energy is -1.33 eV per formula unit. As for the calculated total energy: -3.58 eV per atom. Its space group is P4/mmm, No. 123.

=====

No. 12
# Ce4Sb2O

Crystalline Ce4Sb2O at its relaxed geometry (GGA-PBE, the Alexandria database).

abc: 8.947 8.947 8.947
angles: 149.54 149.54 43.62
Fractional positions:
Ce: 0.000 0.500 0.500
Ce: 0.164 0.164 0.000
Ce: 0.500 0.000 0.500
Ce: 0.836 0.836 0.000
Sb: 0.359 0.359 0.000
Sb: 0.641 0.641 0.000
O: 0.000 0.000 0.000

The density of states at the Fermi level is 20.22 states/eV/f.u. For the uncorrected formation energy, the calculation gives -1.3948 eV per atom. As for the calculated total energy: -6.67 eV per atom. Its space group is I4/mmm, No. 139.

=====

No. 13
# Y3InO

Crystalline Y3InO at its relaxed geometry (GGA-PBE, the Alexandria database).

abc: 6.016 6.016 6.016
angles: 79.88 79.88 79.88
Fractional positions:
Y: 0.039 0.481 0.481
Y: 0.481 0.039 0.481
Y: 0.481 0.481 0.039
In: 0.531 0.531 0.531
O: 0.259 0.259 0.259

The density of states at the Fermi level is 0.94 states/eV/f.u. For the uncorrected formation energy, the calculation gives -0.5674 eV per atom. As for the calculated total energy: -5.99 eV per atom. Its space group is R3m, No. 160.

=====

No. 14
# Ta2Co

Crystalline Ta2Co at its relaxed geometry (GGA-PBE, the Alexandria database).

abc: 5.906 5.906 5.906
angles: 90.00 90.00 90.00
Fractional positions:
Ta: 0.146 0.146 0.146
Ta: 0.146 0.354 0.646
Ta: 0.354 0.646 0.146
Ta: 0.354 0.854 0.646
Ta: 0.646 0.146 0.354
Ta: 0.646 0.354 0.854
Ta: 0.854 0.646 0.354
Ta: 0.854 0.854 0.854
Co: 0.000 0.000 0.500
Co: 0.000 0.500 0.000
Co: 0.500 0.000 0.000
Co: 0.500 0.500 0.500

The density of states at the Fermi level is 3.17 states/eV/f.u. The value obtained for the formation energy is 1.07 eV per formula unit. As for the calculated total energy: -9.91 eV per atom. Its space group is Pa-3, No. 205.

=====

No. 15
# GdYCoNi

Crystalline GdYCoNi at its relaxed geometry (GGA-PBE, the Alexandria database).

abc: 4.781 4.781 4.781
angles: 60.00 60.00 60.00
Fractional positions:
Gd: 0.000 0.000 0.000
Y: 0.500 0.500 0.500
Co: 0.750 0.750 0.750
Ni: 0.250 0.250 0.250

The density of states at the Fermi level is 2.81 states/eV/f.u. The value obtained for the formation energy is -0.89 eV per formula unit. As for the calculated total energy: -8.58 eV per atom. Its space group is F-43m, No. 216.

=====

No. 16
# RuCl3

Crystalline RuCl3 at its relaxed geometry (GGA-PBE, the Alexandria database).

abc: 6.076 6.076 6.610
angles: 98.05 98.05 119.96
Fractional positions:
Ru: 0.167 0.833 0.000
Ru: 0.833 0.167 0.000
Cl: 0.081 0.436 0.789
Cl: 0.209 0.209 0.211
Cl: 0.436 0.081 0.789
Cl: 0.564 0.919 0.211
Cl: 0.791 0.791 0.789
Cl: 0.919 0.564 0.211

The density of states at the Fermi level is 3.32 states/eV/f.u. For the uncorrected formation energy, the calculation gives -0.5091 eV per atom. As for the calculated total energy: -4.21 eV per atom. Its space group is C2/m, No. 12.

=====

No. 17
# Sc2ReB

Crystalline Sc2ReB at its relaxed geometry (GGA-PBE, the Alexandria database).

abc: 7.861 7.861 7.861
angles: 23.53 23.53 23.53
Fractional positions:
Sc: 0.000 0.000 0.000
Sc: 0.208 0.208 0.208
Re: 0.779 0.779 0.779
B: 0.398 0.398 0.398

The density of states at the Fermi level is 2.41 states/eV/f.u. The value obtained for the formation energy is -0.75 eV per formula unit. As for the calculated total energy: -8.13 eV per atom. Its space group is R3m, No. 160.

=====

No. 18
# Ti7Ga4

Crystalline Ti7Ga4 at its relaxed geometry (GGA-PBE, the Alexandria database).

abc: 8.485 8.485 3.028
angles: 90.00 90.00 120.00
Fractional positions:
Ti: 0.000 0.000 0.000
Ti: 0.191 0.382 0.500
Ti: 0.191 0.809 0.500
Ti: 0.526 0.051 0.000
Ti: 0.526 0.474 0.000
Ti: 0.618 0.809 0.500
Ti: 0.949 0.474 0.000
Ga: 0.324 0.162 0.500
Ga: 0.333 0.667 0.000
Ga: 0.838 0.162 0.500
Ga: 0.838 0.676 0.500

The density of states at the Fermi level is 14.75 states/eV/f.u. The value obtained for the formation energy is -2.96 eV per formula unit. As for the calculated total energy: -6.39 eV per atom. Its space group is P-6m2, No. 187.

=====

No. 19
# VRuPb2

Crystalline VRuPb2 at its relaxed geometry (GGA-PBE, the Alexandria database).

abc: 6.189 6.189 6.189
angles: 103.47 103.47 122.29
Fractional positions:
V: 0.000 0.000 0.000
V: 0.750 0.250 0.500
Ru: 0.250 0.750 0.500
Ru: 0.500 0.500 0.000
Pb: 0.140 0.625 0.015
Pb: 0.375 0.390 0.515
Pb: 0.610 0.125 0.985
Pb: 0.875 0.860 0.485

The density of states at the Fermi level is 5.36 states/eV/f.u. The value obtained for the formation energy is 3.44 eV per formula unit. As for the calculated total energy: -5.59 eV per atom. Its space group is I-42d, No. 122.

=====

No. 20
# CaPaTc2

Crystalline CaPaTc2 at its relaxed geometry (GGA-PBE, the Alexandria database).

abc: 4.793 4.793 4.793
angles: 60.00 60.00 60.00
Fractional positions:
Ca: 0.000 0.000 0.000
Pa: 0.500 0.500 0.500
Tc: 0.250 0.250 0.250
Tc: 0.750 0.750 0.750

The density of states at the Fermi level is 3.86 states/eV/f.u. The value obtained for the formation energy is 0.73 eV per formula unit. As for the calculated total energy: -7.88 eV per atom. Its space group is Fm-3m, No. 225.

=====

No. 21
# LaGe2Pb2

Crystalline LaGe2Pb2 at its relaxed geometry (GGA-PBE, the Alexandria database).

abc: 7.663 7.663 7.663
angles: 145.62 145.62 49.40
Fractional positions:
La: 0.000 0.000 0.000
Ge: 0.413 0.413 0.000
Ge: 0.587 0.587 0.000
Pb: 0.250 0.750 0.500
Pb: 0.750 0.250 0.500

The density of states at the Fermi level is 3.03 states/eV/f.u. The value obtained for the formation energy is -1.05 eV per formula unit. As for the calculated total energy: -4.53 eV per atom. Its space group is I4/mmm, No. 139.

=====

No. 22
# EuVSe2

Crystalline EuVSe2 at its relaxed geometry (GGA-PBE, the Alexandria database).

abc: 3.323 3.323 7.098
angles: 90.00 90.00 90.00
Fractional positions:
Eu: 0.000 0.000 0.000
V: 0.000 0.000 0.500
Se: 0.500 0.500 0.290
Se: 0.500 0.500 0.710

The density of states at the Fermi level is 2.67 states/eV/f.u. For the uncorrected formation energy, the calculation gives -0.7333 eV per atom. As for the calculated total energy: -7.32 eV per atom. Its space group is P4/mmm, No. 123.

=====

No. 23
# Tb2SmDy3S6

Crystalline Tb2SmDy3S6 at its relaxed geometry (GGA-PBE, the Alexandria database).

abc: 6.810 6.810 6.809
angles: 99.56 99.56 120.21
Fractional positions:
Tb: 0.166 0.834 0.000
Tb: 0.834 0.166 0.000
Sm: 0.500 0.500 0.000
Dy: 0.000 0.000 0.500
Dy: 0.335 0.665 0.500
Dy: 0.665 0.335 0.500
S: 0.077 0.415 0.745
S: 0.247 0.247 0.254
S: 0.415 0.077 0.745
S: 0.585 0.923 0.255
S: 0.753 0.753 0.746
S: 0.923 0.585 0.255

The density of states at the Fermi level is 4.90 states/eV/f.u. For the uncorrected formation energy, the calculation gives -2.0075 eV per atom. As for the calculated total energy: -6.39 eV per atom. Its space group is C2/m, No. 12.